Entry from the Alexandria database: a geometry-optimized KSi structure (PBE).

Properties
Formation energy from raw total energies in eV/atom: 0.028
DFT total energy in eV/f.u.: -6.5

abc: 4.003 4.002 9.874
angles: 99.55 91.76 119.93
Fractional coordinates of all 4 atoms:
K (0.392, 0.830, 0.215)
K (0.608, 0.170, 0.785)
Si (0.180, 0.355, 0.536)
Si (0.820, 0.645, 0.464)